[1]
This record from the Alexandria database describes a relaxed structure of Er6Ru5Pb. The functional is GGA-PBE.

## Properties
* energy of formation from the pure elements: -0.387 eV/atom
* V: 20.4 A^3/atom

```
data_Er6Ru5Pb
_cell_length_a 4.829
_cell_length_b 14.541
_cell_length_c 6.964
_cell_angle_alpha 90.00
_cell_angle_beta 90.00
_cell_angle_gamma 90.00
_space_group_name_H-M_alt 'C m m m'
_space_group_IT_number 65
_space_group_name_Hall '-C 2 2'
loop_
_atom_site_label
_atom_site_type_symbol
_atom_site_fract_x
_atom_site_fract_y
_atom_site_fract_z
_atom_site_occupancy
Er1 Er 0.000 0.000 0.228 1
Er2 Er 0.000 0.326 0.242 1
Ru1 Ru 0.000 0.164 0.500 1
Ru2 Ru 0.000 0.167 0.000 1
Ru3 Ru 0.000 0.500 0.000 1
Pb1 Pb 0.000 0.500 0.500 1
```

=====

[2]
This record from the Alexandria database describes a relaxed structure of Er7Ru2Pb2. The functional is GGA-PBE.

## Properties
* energy of formation from the pure elements: -0.280 eV/atom
* V: 28.8 A^3/atom

```
data_Er7Ru2Pb2
_cell_length_a 8.172
_cell_length_b 10.706
_cell_length_c 7.250
_cell_angle_alpha 90.00
_cell_angle_beta 90.00
_cell_angle_gamma 90.00
_space_group_name_H-M_alt 'C m m m'
_space_group_IT_number 65
_space_group_name_Hall '-C 2 2'
loop_
_atom_site_label
_atom_site_type_symbol
_atom_site_fract_x
_atom_site_fract_y
_atom_site_fract_z
_atom_site_occupancy
Er1 Er 0.000 0.000 0.000 1
Er2 Er 0.000 0.500 0.226 1
Er3 Er 0.250 0.250 0.240 1
Ru1 Ru 0.000 0.286 0.000 1
Pb1 Pb 0.191 0.000 0.500 1
```

=====

[3]
This record from the Alexandria database describes a relaxed structure of Er12Ru5Pb. The functional is GGA-PBE.

## Properties
* energy of formation from the pure elements: -0.404 eV/atom
* V: 24.8 A^3/atom

```
data_Er12Ru5Pb
_cell_length_a 9.249
_cell_length_b 9.512
_cell_length_c 10.134
_cell_angle_alpha 90.00
_cell_angle_beta 90.00
_cell_angle_gamma 90.00
_space_group_name_H-M_alt 'I m m m'
_space_group_IT_number 71
_space_group_name_Hall '-I 2 2'
loop_
_atom_site_label
_atom_site_type_symbol
_atom_site_fract_x
_atom_site_fract_y
_atom_site_fract_z
_atom_site_occupancy
Er1 Er 0.000 0.194 0.233 1
Er2 Er 0.187 0.500 0.173 1
Er3 Er 0.232 0.325 0.500 1
Ru1 Ru 0.000 0.000 0.000 1
Ru2 Ru 0.000 0.337 0.000 1
Ru3 Ru 0.000 0.500 0.377 1
Pb1 Pb 0.000 0.000 0.500 1
```

=====

[4]
This record from the Alexandria database describes a relaxed structure of Er4RuPb. The functional is GGA-PBE.

## Properties
* energy of formation from the pure elements: -0.424 eV/atom
* V: 27.7 A^3/atom

```
data_Er4RuPb
_cell_length_a 8.863
_cell_length_b 13.333
_cell_length_c 6.102
_cell_angle_alpha 90.00
_cell_angle_beta 112.78
_cell_angle_gamma 90.00
_space_group_name_H-M_alt 'C 1 2/c 1'
_space_group_IT_number 15
_space_group_name_Hall '-C 2yc'
loop_
_atom_site_label
_atom_site_type_symbol
_atom_site_fract_x
_atom_site_fract_y
_atom_site_fract_z
_atom_site_occupancy
Er1 Er 0.110 0.167 0.063 1
Er2 Er 0.224 0.429 0.349 1
Ru1 Ru 0.000 0.000 0.250 1
Pb1 Pb 0.000 0.371 0.750 1
```

=====

[5]
This record from the Alexandria database describes a relaxed structure of Er2RuPb. The functional is GGA-PBE.

## Properties
* energy of formation from the pure elements: -0.287 eV/atom
* V: 25.0 A^3/atom

```
data_Er2RuPb
_cell_length_a 3.5616
_cell_length_b 3.5616
_cell_length_c 27.3213
_cell_angle_alpha 90.00
_cell_angle_beta 90.00
_cell_angle_gamma 120.00
_space_group_name_H-M_alt 'R -3 m'
_space_group_IT_number 166
_space_group_name_Hall '-R 3 2"'
loop_
_atom_site_label
_atom_site_type_symbol
_atom_site_fract_x
_atom_site_fract_y
_atom_site_fract_z
_atom_site_occupancy
Er1 Er 0.0000 0.0000 0.2348 1
Ru1 Ru 0.0000 0.0000 0.5000 1
Pb1 Pb 0.0000 0.0000 0.0000 1
```

=====

[6]
This record from the Alexandria database describes a relaxed structure of Er5Ru2Pb. The functional is GGA-PBE.

## Properties
* energy of formation from the pure elements: -0.450 eV/atom
* V: 25.2 A^3/atom

```
data_Er5Ru2Pb
_cell_length_a 7.656
_cell_length_b 7.656
_cell_length_c 13.752
_cell_angle_alpha 90.00
_cell_angle_beta 90.00
_cell_angle_gamma 90.00
_space_group_name_H-M_alt 'I 4/m c m'
_space_group_IT_number 140
_space_group_name_Hall '-I 4 2c'
loop_
_atom_site_label
_atom_site_type_symbol
_atom_site_fract_x
_atom_site_fract_y
_atom_site_fract_z
_atom_site_occupancy
Er1 Er 0.000 0.000 0.000 1
Er2 Er 0.158 0.342 0.130 1
Ru1 Ru 0.142 0.358 0.500 1
Pb1 Pb 0.000 0.000 0.250 1
```

=====

[7]
This record from the Alexandria database describes a relaxed structure of Er5RuPb. The functional is GGA-PBE.

## Properties
* energy of formation from the pure elements: -0.160 eV/atom
* V: 28.3 A^3/atom

```
data_Er5RuPb
_cell_length_a 10.779
_cell_length_b 6.887
_cell_length_c 11.284
_cell_angle_alpha 90.00
_cell_angle_beta 108.82
_cell_angle_gamma 90.00
_space_group_name_H-M_alt 'C 1 2/c 1'
_space_group_IT_number 15
_space_group_name_Hall '-C 2yc'
loop_
_atom_site_label
_atom_site_type_symbol
_atom_site_fract_x
_atom_site_fract_y
_atom_site_fract_z
_atom_site_occupancy
Er1 Er 0.000 0.028 0.250 1
Er2 Er 0.124 0.333 0.045 1
Er3 Er 0.217 0.185 0.637 1
Ru1 Ru 0.000 0.000 0.000 1
Pb1 Pb 0.000 0.463 0.750 1
```

=====

[8]
This record from the Alexandria database describes a relaxed structure of ErRu2Pb. The functional is GGA-PBE.

## Properties
* energy of formation from the pure elements: -0.122 eV/atom
* V: 18.4 A^3/atom

```
data_ErRu2Pb
_cell_length_a 4.640
_cell_length_b 4.640
_cell_length_c 3.427
_cell_angle_alpha 90.00
_cell_angle_beta 90.00
_cell_angle_gamma 90.00
_space_group_name_H-M_alt 'P 4/m m m'
_space_group_IT_number 123
_space_group_name_Hall '-P 4 2'
loop_
_atom_site_label
_atom_site_type_symbol
_atom_site_fract_x
_atom_site_fract_y
_atom_site_fract_z
_atom_site_occupancy
Er1 Er 0.000 0.000 0.000 1
Ru1 Ru 0.000 0.500 0.500 1
Pb1 Pb 0.500 0.500 0.000 1
```

=====

Question: Look up the energy of formation from the pure elements of the sixth one.
Answer: -0.450 eV/atom